Entry 1:
This record from OQMD via LeMat-Bulk describes a relaxed YAsIrAu crystal. The functional is PBE.

abc: 6.688 6.688 6.688
angles: 90.00 90.00 90.00
Fractional positions:
Y 0.000 0.000 0.000
Y 0.000 0.500 0.500
Y 0.500 0.000 0.500
Y 0.500 0.500 0.000
As 0.250 0.250 0.250
As 0.250 0.750 0.750
As 0.750 0.250 0.750
As 0.750 0.750 0.250
Ir 0.000 0.000 0.500
Ir 0.000 0.500 0.000
Ir 0.500 0.000 0.000
Ir 0.500 0.500 0.500
Au 0.250 0.250 0.750
Au 0.250 0.750 0.250
Au 0.750 0.250 0.250
Au 0.750 0.750 0.750

The value obtained for the total energy is -6.212 eV per atom. The energy relative to the lowest polymorph listed for this composition comes out at 0 meV per atom. The calculation puts the calculated density at 12.28 g/cm³. As for the total moment: 0.01 μB per cell.

=====

Entry 2:
This record from OQMD via LeMat-Bulk describes a relaxed HoAgAu crystal. The functional is PBE.

abc: 3.723 3.723 9.107
angles: 90.00 90.00 90.00
Fractional positions:
Ho 0.000 0.000 0.000
Ho 0.500 0.500 0.500
Ag 0.000 0.000 0.673
Ag 0.500 0.500 0.173
Au 0.000 0.000 0.340
Au 0.500 0.500 0.840

As for the calculated formation energy: -0.634 eV per atom. The value obtained for the total energy is -4.190 eV per atom. The energy relative to the lowest polymorph listed for this composition comes out at 0 meV per atom. The calculation puts the calculated density at 12.36 g/cm³. As for the total moment: 0.00 μB per cell.

=====

Entry 3:
This record from OQMD via LeMat-Bulk describes a relaxed Zr2Nb4Ni3N3 crystal. The functional is PBE.

abc: 5.371 5.371 13.543
angles: 101.55 101.55 59.86
Fractional positions:
Zr 0.042 0.876 0.621
Zr 0.124 0.958 0.879
Zr 0.876 0.042 0.121
Zr 0.958 0.124 0.379
Nb 0.195 0.361 0.088
Nb 0.301 0.475 0.412
Nb 0.361 0.195 0.588
Nb 0.475 0.301 0.912
Nb 0.525 0.699 0.088
Nb 0.639 0.805 0.412
Nb 0.699 0.525 0.588
Nb 0.805 0.639 0.912
Ni 0.085 0.400 0.751
Ni 0.400 0.085 0.251
Ni 0.426 0.574 0.250
Ni 0.574 0.426 0.750
Ni 0.600 0.915 0.749
Ni 0.915 0.600 0.249
N 0.000 0.500 0.500
N 0.156 0.687 0.000
N 0.313 0.844 0.500
N 0.500 0.000 0.000
N 0.687 0.156 0.500
N 0.844 0.313 0.000

The value obtained for the total energy is -8.961 eV per atom. The calculation puts the calculated density at 7.80 g/cm³. As for the total moment: 0.27 μB per cell.

=====

Entry 4:
This record from OQMD via LeMat-Bulk describes a relaxed HfTc2As crystal. The functional is PBE.

abc: 6.388 6.388 6.388
angles: 90.00 90.00 90.00
Fractional positions:
Hf 0.000 0.000 0.000
Hf 0.000 0.500 0.500
Hf 0.500 0.000 0.500
Hf 0.500 0.500 0.000
Tc 0.000 0.000 0.500
Tc 0.000 0.500 0.000
Tc 0.250 0.250 0.250
Tc 0.250 0.750 0.750
Tc 0.500 0.000 0.000
Tc 0.500 0.500 0.500
Tc 0.750 0.250 0.750
Tc 0.750 0.750 0.250
As 0.250 0.250 0.750
As 0.250 0.750 0.250
As 0.750 0.250 0.250
As 0.750 0.750 0.750

The value obtained for the total energy is -8.756 eV per atom. The calculation puts the calculated density at 11.45 g/cm³. As for the total moment: 1.00 μB per cell.

=====

Entry 5:
This record from OQMD via LeMat-Bulk describes a relaxed TbSmNi2B2P2 crystal. The functional is PBE.

abc: 3.932 3.932 7.853
angles: 90.00 90.00 90.00
Fractional positions:
Tb 0.000 0.000 0.000
Sm 0.500 0.500 0.410
Ni 0.000 0.500 0.706
Ni 0.500 0.000 0.706
B 0.000 0.000 0.611
B 0.500 0.500 0.795
P 0.000 0.000 0.362
P 0.500 0.500 0.042

The value obtained for the total energy is -6.323 eV per atom. The calculation puts the calculated density at 6.98 g/cm³. As for the total moment: 0.00 μB per cell.

=====

Entry 6:
This record from OQMD via LeMat-Bulk describes a relaxed Li4Ga2AgPd crystal. The functional is PBE.

abc: 4.347 4.347 6.139
angles: 90.00 90.00 90.00
Fractional positions:
Li 0.000 0.000 0.000
Li 0.000 0.500 0.745
Li 0.500 0.000 0.255
Li 0.500 0.500 0.500
Ga 0.000 0.500 0.268
Ga 0.500 0.000 0.732
Ag 0.500 0.500 0.000
Pd 0.000 0.000 0.500

The value obtained for the total energy is -3.131 eV per atom. The calculation puts the calculated density at 5.46 g/cm³.

=====

Entry 7:
This record from OQMD via LeMat-Bulk describes a relaxed Ta2ReMo crystal. The functional is PBE.

abc: 6.424 6.424 6.424
angles: 90.00 90.00 90.00
Fractional positions:
Ta 0.250 0.250 0.250
Ta 0.250 0.250 0.750
Ta 0.250 0.750 0.250
Ta 0.250 0.750 0.750
Ta 0.750 0.250 0.250
Ta 0.750 0.250 0.750
Ta 0.750 0.750 0.250
Ta 0.750 0.750 0.750
Re 0.000 0.000 0.000
Re 0.000 0.500 0.500
Re 0.500 0.000 0.500
Re 0.500 0.500 0.000
Mo 0.000 0.000 0.500
Mo 0.000 0.500 0.000
Mo 0.500 0.000 0.000
Mo 0.500 0.500 0.500

As for the calculated formation energy: -0.336 eV per atom. The value obtained for the total energy is -12.080 eV per atom. The energy relative to the lowest polymorph listed for this composition comes out at 0 meV per atom. The calculation puts the calculated density at 16.14 g/cm³. As for the total moment: 0.01 μB per cell.

=====

Entry 8:
This record from OQMD via LeMat-Bulk describes a relaxed HoErTh crystal. The functional is PBE.

abc: 7.627 7.627 7.627
angles: 90.00 90.00 90.00
Fractional positions:
Ho 0.000 0.000 0.000
Ho 0.000 0.500 0.500
Ho 0.500 0.000 0.500
Ho 0.500 0.500 0.000
Er 0.250 0.250 0.250
Er 0.250 0.750 0.750
Er 0.750 0.250 0.750
Er 0.750 0.750 0.250
Th 0.000 0.000 0.500
Th 0.000 0.500 0.000
Th 0.500 0.000 0.000
Th 0.500 0.500 0.500

As for the calculated formation energy: 0.803 eV per atom. The value obtained for the total energy is -4.715 eV per atom. The energy relative to the lowest polymorph listed for this composition comes out at 0 meV per atom. The calculation puts the calculated density at 8.45 g/cm³. As for the total moment: 0.03 μB per cell.

=====

Entry 9:
This record from OQMD via LeMat-Bulk describes a relaxed TaHgO3 crystal. The functional is PBE.

abc: 5.722 8.033 5.632
angles: 90.00 90.00 90.00
Fractional positions:
Ta 0.000 0.000 0.000
Ta 0.000 0.500 0.000
Ta 0.500 0.000 0.500
Ta 0.500 0.500 0.500
Hg 0.001 0.250 0.500
Hg 0.499 0.750 0.000
Hg 0.501 0.250 0.000
Hg 0.999 0.750 0.500
O 0.000 0.250 0.003
O 0.000 0.750 0.997
O 0.249 0.001 0.749
O 0.249 0.499 0.749
O 0.251 0.501 0.249
O 0.251 0.999 0.249
O 0.500 0.250 0.497
O 0.500 0.750 0.503
O 0.749 0.001 0.751
O 0.749 0.499 0.751
O 0.751 0.501 0.251
O 0.751 0.999 0.251

The value obtained for the total energy is -7.237 eV per atom. The calculation puts the calculated density at 11.02 g/cm³. As for the total moment: 0.01 μB per cell.

=====

Entry 10:
This record from OQMD via LeMat-Bulk describes a relaxed PrSn2PtAu crystal. The functional is PBE.

abc: 4.696 4.663 10.755
angles: 90.00 90.86 90.00
Fractional positions:
Pr 0.234 0.250 0.250
Pr 0.766 0.750 0.750
Sn 0.254 0.750 0.499
Sn 0.290 0.250 0.863
Sn 0.710 0.750 0.137
Sn 0.746 0.250 0.501
Pt 0.249 0.250 0.621
Pt 0.751 0.750 0.379
Au 0.211 0.750 0.999
Au 0.789 0.250 0.001

The value obtained for the total energy is -5.167 eV per atom. The calculation puts the calculated density at 10.87 g/cm³. As for the total moment: 0.00 μB per cell.

=====

Entry 11:
This record from OQMD via LeMat-Bulk describes a relaxed SmSi crystal. The functional is PBE.

abc: 3.762 3.762 4.213
angles: 90.00 90.00 120.00
Fractional positions:
Sm 0.000 0.000 0.000
Si 0.333 0.667 0.500

The value obtained for the total energy is -5.287 eV per atom. The calculation puts the calculated density at 5.74 g/cm³. As for the total moment: 0.01 μB per cell.

=====

Entry 12:
This record from OQMD via LeMat-Bulk describes a relaxed PrHoNi2Sn4 crystal. The functional is PBE.

abc: 4.509 4.375 18.378
angles: 90.00 90.00 90.00
Fractional positions:
Pr 0.000 0.000 0.000
Pr 0.000 0.500 0.500
Ho 0.500 0.000 0.218
Ho 0.500 0.500 0.718
Ni 0.000 0.000 0.788
Ni 0.000 0.500 0.288
Ni 0.500 0.000 0.429
Ni 0.500 0.500 0.929
Sn 0.000 0.000 0.360
Sn 0.000 0.000 0.656
Sn 0.000 0.500 0.156
Sn 0.000 0.500 0.860
Sn 0.500 0.000 0.563
Sn 0.500 0.000 0.856
Sn 0.500 0.500 0.063
Sn 0.500 0.500 0.356

The value obtained for the total energy is -5.102 eV per atom. The calculation puts the calculated density at 8.23 g/cm³. As for the total moment: 0.01 μB per cell.

=====

Entry 13:
This record from OQMD via LeMat-Bulk describes a relaxed LuTaSi crystal. The functional is PBE.

abc: 6.314 6.314 6.314
angles: 90.00 90.00 90.00
Fractional positions:
Lu 0.000 0.000 0.000
Lu 0.000 0.500 0.500
Lu 0.500 0.000 0.500
Lu 0.500 0.500 0.000
Ta 0.000 0.000 0.500
Ta 0.000 0.500 0.000
Ta 0.500 0.000 0.000
Ta 0.500 0.500 0.500
Si 0.250 0.250 0.250
Si 0.250 0.750 0.750
Si 0.750 0.250 0.750
Si 0.750 0.750 0.250

The value obtained for the total energy is -7.260 eV per atom. The calculation puts the calculated density at 10.13 g/cm³. As for the total moment: 3.04 μB per cell.

=====

Entry 14:
This record from OQMD via LeMat-Bulk describes a relaxed HfMg3 crystal. The functional is PBE.

abc: 6.283 11.278 5.025
angles: 90.00 90.00 90.00
Fractional positions:
Hf 0.000 0.064 0.250
Hf 0.000 0.936 0.750
Hf 0.500 0.436 0.750
Hf 0.500 0.564 0.250
Mg 0.000 0.421 0.750
Mg 0.000 0.579 0.250
Mg 0.244 0.174 0.750
Mg 0.244 0.826 0.250
Mg 0.256 0.326 0.250
Mg 0.256 0.674 0.750
Mg 0.500 0.079 0.250
Mg 0.500 0.921 0.750
Mg 0.744 0.326 0.250
Mg 0.744 0.674 0.750
Mg 0.756 0.174 0.750
Mg 0.756 0.826 0.250

The value obtained for the total energy is -3.521 eV per atom. The calculation puts the calculated density at 4.69 g/cm³. As for the total moment: 0.05 μB per cell.